[1]
# K2CoBr GGA-PBE optimized geometry
data_K2CoBr
_symmetry_space_group_name_H-M 'C 1 m 1'
_symmetry_Int_Tables_number 8
_cell_length_a 12.6356
_cell_length_b 4.2251
_cell_length_c 5.4423
_cell_angle_alpha 90.00
_cell_angle_beta 90.01
_cell_angle_gamma 90.00
loop_
_symmetry_equiv_pos_as_xyz
'x,y,z'
'x,-y,z'
'x+1/2,y+1/2,z'
'x+1/2,-y+1/2,z'
loop_
_atom_site_label
_atom_site_type_symbol
_atom_site_fract_x
_atom_site_fract_y
_atom_site_fract_z
_atom_site_occupancy
K1 K 0.0000 0.0000 0.0000 1
K2 K 0.2432 0.0000 0.5020 1
Co1 Co 0.0121 0.5000 0.4995 1
Br1 Br 0.2287 0.5000 0.0021 1
# - mass density (Mg/m³) = 2.48
# - energy relative to the lowest polymorph listed for this composition (kJ per mole of atoms) = 2.7
# - ΔE_f (raw) (eV/atom) = -0.056

***

[2]
# KCoBr2 GGA-PBE optimized geometry
data_KCoBr2
_symmetry_space_group_name_H-M 'I -4 2 d'
_symmetry_Int_Tables_number 122
_symmetry_space_group_name_Hall 'I -4 2bw'
_cell_length_a 7.6469
_cell_length_b 7.6469
_cell_length_c 7.7112
_cell_angle_alpha 90.00
_cell_angle_beta 90.00
_cell_angle_gamma 90.00
loop_
_atom_site_label
_atom_site_type_symbol
_atom_site_fract_x
_atom_site_fract_y
_atom_site_fract_z
_atom_site_occupancy
K1 K 0.0000 0.0000 0.0000 1
Co1 Co 0.0000 0.0000 0.5000 1
Br1 Br 0.1542 0.2500 0.6250 1
# - mass density (Mg/m³) = 3.80
# - energy relative to the lowest polymorph listed for this composition (kJ per mole of atoms) = 0.0
# - ΔE_f (raw) (eV/atom) = -0.647

***

[3]
# KCoBr3 GGA-PBE optimized geometry
data_KCoBr3
_symmetry_space_group_name_H-M 'P 1 21/c 1'
_symmetry_Int_Tables_number 14
_cell_length_a 7.5698
_cell_length_b 8.5288
_cell_length_c 13.0606
_cell_angle_alpha 90.00
_cell_angle_beta 125.23
_cell_angle_gamma 90.00
loop_
_symmetry_equiv_pos_as_xyz
'x,y,z'
'-x,-y,-z'
'-x,y+1/2,-z+1/2'
'x,-y+1/2,z+1/2'
loop_
_atom_site_label
_atom_site_type_symbol
_atom_site_fract_x
_atom_site_fract_y
_atom_site_fract_z
_atom_site_occupancy
K1 K 0.2069 0.1066 0.2460 1
Co1 Co 0.1147 0.5976 0.0592 1
Br1 Br 0.1063 0.2063 0.9455 1
Br2 Br 0.2649 0.6726 0.9525 1
Br3 Br 0.3603 0.0151 0.7545 1
# - mass density (Mg/m³) = 3.26
# - ΔE_f (raw) (eV/atom) = -0.860

***

[4]
# K4CoBr6 GGA-PBE optimized geometry
data_K4CoBr6
_symmetry_space_group_name_H-M 'P 4/m n c'
_symmetry_Int_Tables_number 128
_symmetry_space_group_name_Hall '-P 4 2n'
_cell_length_a 8.9872
_cell_length_b 8.9872
_cell_length_c 9.2320
_cell_angle_alpha 90.00
_cell_angle_beta 90.00
_cell_angle_gamma 90.00
loop_
_atom_site_label
_atom_site_type_symbol
_atom_site_fract_x
_atom_site_fract_y
_atom_site_fract_z
_atom_site_occupancy
K1 K 0.1729 0.3271 0.2500 1
Co1 Co 0.0000 0.0000 0.0000 1
Br1 Br 0.0000 0.0000 0.2746 1
Br2 Br 0.0898 0.7091 0.0000 1
# - mass density (Mg/m³) = 3.09
# - ΔE_f (raw) (eV/atom) = -1.303

***

[5]
# K3CoBr GGA-PBE optimized geometry
data_K3CoBr
_symmetry_space_group_name_H-M 'P m -3 m'
_symmetry_Int_Tables_number 221
_symmetry_space_group_name_Hall '-P 4 2 3'
_cell_length_a 6.2636
_cell_length_b 6.2636
_cell_length_c 6.2636
_cell_angle_alpha 90.00
_cell_angle_beta 90.00
_cell_angle_gamma 90.00
loop_
_atom_site_label
_atom_site_type_symbol
_atom_site_fract_x
_atom_site_fract_y
_atom_site_fract_z
_atom_site_occupancy
K1 K 0.0000 0.0000 0.5000 1
Co1 Co 0.5000 0.5000 0.5000 1
Br1 Br 0.0000 0.0000 0.0000 1
# - mass density (Mg/m³) = 1.73
# - energy relative to the lowest polymorph listed for this composition (kJ per mole of atoms) = 0.0
# - ΔE_f (raw) (eV/atom) = 0.084

***

[6]
# KCoBr2 GGA-PBE optimized geometry
data_KCoBr2
_symmetry_space_group_name_H-M 'F m -3 m'
_symmetry_Int_Tables_number 225
_symmetry_space_group_name_Hall '-F 4 2 3'
_cell_length_a 7.3745
_cell_length_b 7.3745
_cell_length_c 7.3745
_cell_angle_alpha 90.00
_cell_angle_beta 90.00
_cell_angle_gamma 90.00
loop_
_atom_site_label
_atom_site_type_symbol
_atom_site_fract_x
_atom_site_fract_y
_atom_site_fract_z
_atom_site_occupancy
K1 K 0.0000 0.0000 0.0000 1
Co1 Co 0.0000 0.0000 0.5000 1
Br1 Br 0.2500 0.2500 0.2500 1
# - mass density (Mg/m³) = 4.27
# - energy relative to the lowest polymorph listed for this composition (kJ per mole of atoms) = 41.7
# - ΔE_f (raw) (eV/atom) = -0.216